Entry 1:
Density functional theory data (GGA-PBE) for crystalline TmTiRhAu at its relaxed geometry.

Its final energy is -6.3426 eV/atom. Its formation energy is -0.594 eV/atom.

The space group is F-43m (No. 216) and the conventional cell measures 6.666, 6.666 and 6.666 Å, with angles of 90.00, 90.00 and 90.00 degrees. The inequivalent atoms are Tm at (0.000, 0.000, 0.000), Ti at (0.000, 0.000, 0.500), Rh at (0.250, 0.250, 0.250) and Au at (0.250, 0.250, 0.750).

Entry 2:
Density functional theory data (GGA-PBE) for crystalline CaReAg at its relaxed geometry.

Its final energy is -5.0156 eV/atom. Its formation energy is 0.751 eV/atom.

The space group is Imm2 (No. 44) and the conventional cell measures 2.740, 4.439 and 9.864 Å, with angles of 90.00, 90.00 and 90.00 degrees. The inequivalent atoms are Ca at (0.000, 0.000, 0.000), Re at (0.000, 0.000, 0.689) and Ag at (0.000, 0.000, 0.309).

Question: The highest final energy belongs to which entry?
Answer: CaReAg

Question: Which of these has the highest final energy?
Answer: CaReAg